Entry from Alexandria: an optimized crystal structure of MgAg4Hg2 (PBE).

Computed properties:
Calculated density ... 10.5 Mg/m³
M_tot ... 0.000 μB per atom
Crystal system ... triclinic
E_tot ... -1.988 eV/atom
Fermi-level density of states ... 1.85 states/eV/f.u.

abc: 5.6979 7.1852 7.8596
angles: 65.12 68.90 74.78
With the nearest neighbours (Å) after each atom.
Space group P1 (No. 1)
Unique sites:
Mg 0.0000 0.0000 0.0000 (multiplicity 1)  8 Ag 2.90-3.11, 4 Hg 2.92-3.16
Mg 0.1856 0.7659 0.5536 (multiplicity 1)  9 Ag 2.93-3.05, 3 Hg 2.99-3.05
Ag 0.1438 0.5871 0.2863 (multiplicity 1)  7 Ag 2.89-3.09, 2 Mg 2.99-3.00, 3 Hg 3.02-3.07
Ag 0.2925 0.1523 0.5686 (multiplicity 1)  6 Ag 2.93-3.09, 4 Hg 2.95-3.00, 2 Mg 3.04-3.05
Ag 0.4772 0.9034 0.1324 (multiplicity 1)  5 Ag 2.92-3.03, 3 Mg 2.95-3.07, 4 Hg 3.01-3.15
Ag 0.6182 0.4945 0.4045 (multiplicity 1)  8 Ag 2.91-3.17, 1 Mg 2.93, 3 Hg 2.98-3.05
Ag 0.7171 0.8588 0.4290 (multiplicity 1)  6 Ag 2.89-3.14, 3 Hg 2.95-3.09, 3 Mg 2.99-3.01
Ag 0.7698 0.0527 0.7023 (multiplicity 1)  2 Mg 2.92-2.95, 3 Hg 2.93-2.95, 7 Ag 2.95-3.17
Ag 0.8646 0.4361 0.7053 (multiplicity 1)  6 Ag 2.93-3.13, 2 Mg 2.95-3.11, 4 Hg 2.95-3.06
Ag 0.9093 0.6331 0.9783 (multiplicity 1)  2 Mg 2.90-2.98, 5 Ag 2.94-3.13, 5 Hg 2.99-3.17
Hg 0.0426 0.1902 0.2831 (multiplicity 1)  7 Ag 2.94-3.17, 2 Mg 2.99-3.16, 3 Hg 3.01-3.17
Hg 0.3283 0.3362 0.8295 (multiplicity 1)  7 Ag 2.95-3.15, 2 Mg 3.00-3.04, 3 Hg 3.15-3.17
Hg 0.4375 0.7357 0.8493 (multiplicity 1)  2 Mg 2.92-3.05, 8 Ag 2.93-3.07, 2 Hg 3.14-3.17
Hg 0.5816 0.2952 0.1421 (multiplicity 1)  1 Mg 2.97, 7 Ag 3.00-3.09, 4 Hg 3.01-3.15